An optimized crystal structure of Th12Ga6Tc. Source: Alexandria, functional PBE.

Lattice parameters (Å, degrees): 8.1632 8.1632 8.1632 93.51 93.51 93.51
Last column: nearest neighbours and their distance in Å.
Atoms (fractional coordinates):
Th 0.0429 0.6911 0.9325  4 Ga 3.06-3.24, 1 Th 3.42
Th 0.0675 0.9571 0.3089  4 Ga 3.06-3.24, 1 Th 3.42
Th 0.1704 0.5277 0.4098  1 Tc 2.77, 1 Ga 3.09
Th 0.3089 0.0675 0.9571  4 Ga 3.06-3.24, 1 Th 3.42
Th 0.4098 0.1704 0.5277  1 Tc 2.77, 1 Ga 3.09
Th 0.4723 0.5902 0.8296  1 Tc 2.77, 1 Ga 3.09
Th 0.5277 0.4098 0.1704  1 Tc 2.77, 1 Ga 3.09
Th 0.5902 0.8296 0.4723  1 Tc 2.77, 1 Ga 3.09
Th 0.6911 0.9325 0.0429  4 Ga 3.06-3.24, 1 Th 3.42
Th 0.8296 0.4723 0.5902  1 Tc 2.77, 1 Ga 3.09
Th 0.9325 0.0429 0.6911  4 Ga 3.06-3.24, 1 Th 3.42
Th 0.9571 0.3089 0.0675  4 Ga 3.06-3.24, 1 Th 3.42
Ga 0.1610 0.3550 0.7591  8 Th 3.06-3.26
Ga 0.2409 0.8390 0.6450  8 Th 3.06-3.26
Ga 0.3550 0.7591 0.1610  8 Th 3.06-3.26
Ga 0.6450 0.2409 0.8390  8 Th 3.06-3.26
Ga 0.7591 0.1610 0.3550  8 Th 3.06-3.26
Ga 0.8390 0.6450 0.2409  8 Th 3.06-3.26
Tc 0.5000 0.5000 0.5000  6 Th 2.77

Computed properties:
**Space group**: R-3, No. 148
**ΔH_f (0 K)**: -265 kJ/mol of formula units